## Tl2CrGa2O6 (PBE+U)

Data for a relaxed structure of Tl2CrGa2O6.

a = 5.7969 Å, b = 5.7969 Å, c = 16.1958 Å
α = 90.00°, β = 90.00°, γ = 120.00°
Space group R-3m (No. 166, hexagonal axes)
One atom of each set of equivalent atoms:
Tl 0.0000 0.0000 0.2053 x6
Cr 0.0000 0.0000 0.0000 x3
Ga 0.0000 0.0000 0.3904 x6
O 0.0213 0.5107 0.7426 x18

Output
Crystal system ... trigonal
Electronic total energy ... -5.61 eV/atom
Calculated density ... 7.36 g/cm3